# CdSeI2 (PBE, optimized geometry)
# **Energy above the most stable polymorph in this dataset**: 211 meV per atom
# **Calculated volume**: 28.63 Å³ per atom
# **M_tot**: 0.00 μB/f.u.
# **Raw total energy**: -24.388 eV per cell
# **Energy relative to the elements, uncorrected**: 351 meV per atom
data_CdSeI2
_chemical_formula_sum 'Cd4 Se4 I8'
_space_group_name_H-M_alt 'F m -3 m'
_space_group_IT_number 225
_space_group_name_Hall '-F 4 2 3'
_cell_length_a 7.7090
_cell_length_b 7.7090
_cell_length_c 7.7090
_cell_angle_alpha 90.00
_cell_angle_beta 90.00
_cell_angle_gamma 90.00
loop_
_atom_site_label
_atom_site_type_symbol
_atom_site_fract_x
_atom_site_fract_y
_atom_site_fract_z
_atom_site_occupancy
Cd1 Cd 0.0000 0.0000 0.0000 1
Se1 Se 0.0000 0.0000 0.5000 1
I1 I 0.2500 0.2500 0.2500 1